No. 1
Entry from the Alexandria database: a PBEsol-optimized structure of CaNi3P4O14 (meta-GGA SCAN).

Properties
SG: P2_1/c
Crystal system: monoclinic
Formation energy from raw total energies in kJ/mol of formula units: -5003
Final energy in eV/atom: -10.858

POSCAR file:
```
CaNi3P4O14
1.0
-4.418 5.236 2.448
-5.531 -5.059 0.837
4.765 -4.064 6.920
O P Ni Ca
28 8 6 2
direct
0.673 0.125 0.676
0.673 0.375 0.176
0.168 0.619 0.395
0.006 0.713 0.633
0.974 0.426 0.112
0.832 0.381 0.605
0.727 0.620 0.371
0.273 0.120 0.129
0.974 0.074 0.612
0.380 0.306 0.915
0.026 0.574 0.888
0.388 0.525 0.195
0.612 0.475 0.805
0.168 0.881 0.895
0.832 0.119 0.105
0.620 0.806 0.585
0.388 0.975 0.695
0.380 0.194 0.415
0.026 0.926 0.388
0.620 0.694 0.085
0.727 0.880 0.871
0.006 0.787 0.133
0.273 0.380 0.629
0.327 0.875 0.324
0.612 0.025 0.305
0.994 0.213 0.867
0.994 0.287 0.367
0.327 0.625 0.824
0.596 0.934 0.703
0.596 0.566 0.203
0.117 0.705 0.808
0.117 0.795 0.308
0.404 0.434 0.797
0.883 0.205 0.692
0.404 0.066 0.297
0.883 0.295 0.192
0.000 0.500 0.500
0.815 0.628 0.976
0.185 0.372 0.024
0.185 0.128 0.524
0.000 0.000 0.000
0.815 0.872 0.476
0.500 0.500 0.500
0.500 0.000 0.000
```


No. 2
Entry from the Alexandria database: a PBEsol-optimized structure of ZnCd (meta-GGA SCAN).

Properties
SG: Pmmn
Crystal system: orthorhombic
Final energy in eV/atom: -21.877

POSCAR file:
```
ZnCd
1.0
2.798 0.000 0.000
0.000 4.811 0.000
0.000 0.000 5.306
Zn Cd
2 2
direct
0.000 0.088 0.500
0.500 0.912 0.000
0.500 0.594 0.500
0.000 0.406 0.000
```


No. 3
Entry from the Alexandria database: a PBEsol-optimized structure of AuSe3O (meta-GGA SCAN).

Properties
SG: Pm-3m
Crystal system: cubic
Formation energy from raw total energies in kJ/mol of formula units: 360
Final energy in eV/atom: -26.379

POSCAR file:
```
AuSe3O
1.0
-2.529 0.607 -3.601
3.102 -1.954 -2.508
-1.927 -3.942 0.688
Au Se O
1 3 1
direct
0.500 0.500 0.500
0.000 0.000 0.500
0.500 0.000 0.000
0.000 0.500 0.000
0.000 0.000 0.000
```


No. 4
Entry from the Alexandria database: a PBEsol-optimized structure of FeHg2Ru (meta-GGA SCAN).

Properties
SG: F-43m
Crystal system: cubic
Final energy in eV/atom: -46.764
Relative energy among the computed polymorphs in meV/atom: 115.8

POSCAR file:
```
FeHg2Ru
1.0
-0.787 -3.874 -2.191
3.137 -3.253 -0.036
-0.675 -3.815 2.327
Ru Fe Hg
1 1 2
direct
0.750 0.750 0.750
0.500 0.500 0.500
0.250 0.250 0.250
0.000 0.000 0.000
```


No. 5
Entry from the Alexandria database: a PBEsol-optimized structure of CoTc2AsO (meta-GGA SCAN).

Properties
SG: P4/mmm
Crystal system: tetragonal
Formation energy from raw total energies in kJ/mol of formula units: 72
Final energy in eV/atom: -22.620
Relative energy among the computed polymorphs in meV/atom: 0.0

POSCAR file:
```
CoTc2AsO
1.0
-1.683 -2.903 1.224
1.893 -2.297 -2.845
3.100 -0.692 2.621
As O Tc Co
1 1 2 1
direct
0.500 0.500 0.500
0.000 0.000 0.000
0.000 0.500 0.000
0.000 0.000 0.500
0.500 0.000 0.000
```


No. 6
Entry from the Alexandria database: a PBEsol-optimized structure of Li7NbO6 (meta-GGA SCAN).

Properties
SG: R3
Crystal system: trigonal
Formation energy from raw total energies in kJ/mol of formula units: -3124
Final energy in eV/atom: -8.545

POSCAR file:
```
Li7NbO6
1.0
-3.246 -3.501 2.801
1.104 -5.424 -0.032
2.087 -2.428 4.854
Li O Nb
7 6 1
direct
0.232 0.490 0.346
0.931 0.232 0.346
0.726 0.495 0.656
0.654 0.654 0.039
0.495 0.122 0.656
0.122 0.726 0.656
0.490 0.931 0.346
0.233 0.883 0.246
0.379 0.796 0.755
0.638 0.233 0.246
0.796 0.070 0.755
0.883 0.638 0.246
0.070 0.379 0.755
0.001 0.001 0.998
```


No. 7
Entry from the Alexandria database: a PBEsol-optimized structure of ZrTl2Tc (meta-GGA SCAN).

Properties
SG: Pmmm
Crystal system: orthorhombic
Final energy in eV/atom: -52.280
Relative energy among the computed polymorphs in meV/atom: 50.3

POSCAR file:
```
ZrTl2Tc
1.0
3.201 0.000 0.000
0.000 4.090 0.000
0.000 0.000 5.976
Tl Zr Tc
2 1 1
direct
0.000 0.000 0.264
0.000 0.000 0.736
0.500 0.500 0.000
0.500 0.500 0.500
```


No. 8
Entry from the Alexandria database: a PBEsol-optimized structure of Tl2HgCl (meta-GGA SCAN).

Properties
SG: Fm-3m
Crystal system: cubic
Formation energy from raw total energies in kJ/mol of formula units: -151
Final energy in eV/atom: -55.606
Relative energy among the computed polymorphs in meV/atom: 91.5

POSCAR file:
```
Tl2HgCl
1.0
5.311 0.000 0.000
2.655 4.599 0.000
2.655 1.533 4.336
Tl Hg Cl
2 1 1
direct
0.750 0.750 0.750
0.250 0.250 0.250
0.500 0.500 0.500
0.000 0.000 0.000
```


No. 9
Entry from the Alexandria database: a PBEsol-optimized structure of AlTlRu (meta-GGA SCAN).

Properties
SG: F-43m
Crystal system: cubic
Final energy in eV/atom: -37.997
Relative energy among the computed polymorphs in meV/atom: 177.1

POSCAR file:
```
AlTlRu
1.0
-2.122 -3.506 -1.179
-0.945 -2.993 2.888
-4.041 -0.565 1.241
Tl Ru Al
1 1 1
direct
0.500 0.500 0.500
0.000 0.000 0.000
0.250 0.250 0.250
```


No. 10
Entry from the Alexandria database: a PBEsol-optimized structure of Li2Si2Ni (meta-GGA SCAN).

Properties
SG: P4/mbm
Crystal system: tetragonal
Formation energy from raw total energies in kJ/mol of formula units: -120
Final energy in eV/atom: -8.446

POSCAR file:
```
Li2Si2Ni
1.0
4.082 0.000 0.000
0.000 5.851 0.000
0.000 0.000 5.851
Li Si Ni
4 4 2
direct
0.500 0.168 0.668
0.500 0.332 0.168
0.500 0.668 0.832
0.500 0.832 0.332
0.000 0.358 0.858
0.000 0.142 0.358
0.000 0.642 0.142
0.000 0.858 0.642
0.000 0.000 0.000
0.000 0.500 0.500
```


No. 11
Entry from the Alexandria database: a PBEsol-optimized structure of ZrHg2Se (meta-GGA SCAN).

Properties
SG: Pmmm
Crystal system: orthorhombic
Formation energy from raw total energies in kJ/mol of formula units: -114
Final energy in eV/atom: -47.073

POSCAR file:
```
ZrHg2Se
1.0
-1.167 -2.515 2.262
-2.660 -1.529 -3.071
3.889 -3.339 -1.706
Hg Zr Se
2 1 1
direct
0.000 0.000 0.000
0.500 0.500 0.000
0.000 0.500 0.500
0.500 0.000 0.500
```


No. 12
Entry from the Alexandria database: a PBEsol-optimized structure of H2Ir2Pt (meta-GGA SCAN).

Properties
SG: I4/mmm
Crystal system: tetragonal
Final energy in eV/atom: -43.527

POSCAR file:
```
H2Ir2Pt
1.0
3.475 0.000 0.000
0.000 3.475 0.000
-1.738 -1.738 4.073
H Pt Ir
2 1 2
direct
0.250 0.750 0.500
0.750 0.250 0.500
0.000 0.000 0.000
0.340 0.340 0.679
0.660 0.660 0.321
```


No. 13
Entry from the Alexandria database: a PBEsol-optimized structure of Cr2BiSb (meta-GGA SCAN).

Properties
SG: I-42d
Crystal system: tetragonal
Formation energy from raw total energies in kJ/mol of formula units: 124
Final energy in eV/atom: -37.831

POSCAR file:
```
Cr2BiSb
1.0
4.747 0.000 0.000
0.000 4.747 0.000
-2.374 -2.374 8.686
Bi Cr Sb
2 4 2
direct
0.250 0.750 0.500
0.000 0.000 0.000
0.854 0.375 0.250
0.625 0.604 0.750
0.125 0.146 0.750
0.396 0.875 0.250
0.750 0.250 0.500
0.500 0.500 0.000
```


No. 14
Entry from the Alexandria database: a PBEsol-optimized structure of La2ScTiPt (meta-GGA SCAN).

Properties
SG: P4/mmm
Crystal system: tetragonal
Final energy in eV/atom: -37.479

POSCAR file:
```
La2ScTiPt
1.0
5.055 0.000 0.000
0.000 5.587 0.000
0.000 0.000 5.587
La Ti Sc Pt
2 1 1 1
direct
0.000 0.000 0.500
0.000 0.500 0.000
0.500 0.500 0.500
0.500 0.000 0.000
0.000 0.000 0.000
```


No. 15
Entry from the Alexandria database: a PBEsol-optimized structure of Sr3Ge2B6O16 (meta-GGA SCAN).

Properties
SG: P-1
Crystal system: triclinic
Formation energy from raw total energies in kJ/mol of formula units: -7082
Final energy in eV/atom: -11.951

POSCAR file:
```
Sr3Ge2B6O16
1.0
-0.134 3.566 -3.495
1.736 -4.920 -5.139
-7.395 -1.463 -3.890
Sr Ge O B
3 2 16 6
direct
0.903 0.906 0.742
0.000 0.500 0.500
0.097 0.094 0.258
0.302 0.687 0.052
0.698 0.313 0.948
0.294 0.463 0.188
0.032 0.810 0.142
0.592 0.727 0.585
0.626 0.891 0.302
0.374 0.109 0.698
0.264 0.685 0.853
0.329 0.434 0.704
0.968 0.190 0.858
0.671 0.566 0.296
0.736 0.315 0.147
0.815 0.178 0.512
0.618 0.797 0.044
0.185 0.822 0.488
0.382 0.203 0.956
0.408 0.273 0.415
0.706 0.537 0.812
0.460 0.590 0.741
0.539 0.188 0.540
0.732 0.759 0.196
0.540 0.410 0.259
0.461 0.812 0.460
0.268 0.241 0.804
```


No. 16
Entry from the Alexandria database: a PBEsol-optimized structure of Sc2PtW (meta-GGA SCAN).

Properties
SG: Fm-3m
Crystal system: cubic
Final energy in eV/atom: -42.425
Relative energy among the computed polymorphs in meV/atom: 129.7

POSCAR file:
```
Sc2PtW
1.0
4.593 0.000 0.000
2.297 3.978 0.000
2.297 1.326 3.750
Sc W Pt
2 1 1
direct
0.250 0.250 0.250
0.750 0.750 0.750
0.000 0.000 0.000
0.500 0.500 0.500
```


No. 17
Entry from the Alexandria database: a PBEsol-optimized structure of CoSe2Br (meta-GGA SCAN).

Properties
SG: Pmmm
Crystal system: orthorhombic
Formation energy from raw total energies in kJ/mol of formula units: 82
Final energy in eV/atom: -19.019
Relative energy among the computed polymorphs in meV/atom: 458.3

POSCAR file:
```
CoSe2Br
1.0
-2.730 -0.135 0.243
0.308 -1.845 2.427
0.130 7.265 5.506
Co Br Se
1 1 2
direct
0.500 0.500 0.000
0.500 0.500 0.500
0.000 0.000 0.162
0.000 0.000 0.838
```


No. 18
Entry from the Alexandria database: a PBEsol-optimized structure of Ce2ZnPb (meta-GGA SCAN).

Properties
SG: Fm-3m
Crystal system: cubic
Final energy in eV/atom: -45.025

POSCAR file:
```
Ce2ZnPb
1.0
5.268 0.000 0.000
2.634 4.562 0.000
2.634 1.521 4.301
Pb Ce Zn
1 2 1
direct
0.500 0.500 0.500
0.750 0.750 0.750
0.250 0.250 0.250
0.000 0.000 0.000
```


No. 19
Entry from the Alexandria database: a PBEsol-optimized structure of LaNbSe2Br (meta-GGA SCAN).

Properties
SG: P4/mmm
Crystal system: tetragonal
Formation energy from raw total energies in kJ/mol of formula units: -437
Final energy in eV/atom: -28.075

POSCAR file:
```
LaNbSe2Br
1.0
5.019 0.000 0.000
0.000 5.019 0.000
0.000 0.000 4.976
Br La Se Nb
1 1 2 1
direct
0.000 0.000 0.500
0.500 0.500 0.500
0.500 0.000 0.000
0.000 0.500 0.000
0.000 0.000 0.000
```


No. 20
Entry from the Alexandria database: a PBEsol-optimized structure of Be2AlRu2 (meta-GGA SCAN).

Properties
SG: I4/mmm
Crystal system: tetragonal
Final energy in eV/atom: -17.443
Relative energy among the computed polymorphs in meV/atom: 494.2

POSCAR file:
```
Be2AlRu2
1.0
4.214 0.000 0.000
-2.107 3.932 -0.001
0.000 -2.257 3.558
Be Ru Al
2 2 1
direct
0.652 0.304 0.652
0.348 0.696 0.348
0.250 0.500 0.750
0.750 0.500 0.250
0.000 0.000 0.000
```